1.
{
  "formula": "LaTm2Mg",
  "functional": "GGA-PBE",
  "state": "optimized geometry",
  "e_form_ev_per_atom": 0.060,
  "lattice": [[1.769, 1.021, 11.303], [-1.769, 1.021, 11.303], [0.000, -2.042, 11.303]],
  "species": ["La", "Tm", "Tm", "Mg"],
  "frac_coords": [[0.000, 0.000, 0.000], [0.577, 0.577, 0.577], [0.756, 0.756, 0.756], [0.166, 0.166, 0.166]]
}

2.
{
  "formula": "LaTmMg2",
  "functional": "GGA-PBE",
  "state": "optimized geometry",
  "e_form_ev_per_atom": 0.050,
  "lattice": [[1.721, 0.994, 11.373], [-1.721, 0.994, 11.373], [0.000, -1.987, 11.373]],
  "species": ["La", "Tm", "Mg", "Mg"],
  "frac_coords": [[0.000, 0.000, 0.000], [0.831, 0.831, 0.831], [0.245, 0.245, 0.245], [0.419, 0.419, 0.419]]
}

3.
{
  "formula": "La3TmMg2",
  "functional": "GGA-PBE",
  "state": "optimized geometry",
  "e_form_ev_per_atom": -0.050,
  "lattice": [[3.918, 0.000, 0.000], [0.000, 3.918, 0.000], [0.000, 0.000, 12.565]],
  "species": ["La", "La", "La", "Tm", "Mg", "Mg"],
  "frac_coords": [[0.000, 0.000, 0.000], [0.000, 0.000, 0.317], [0.000, 0.000, 0.683], [0.500, 0.500, 0.500], [0.500, 0.500, 0.160], [0.500, 0.500, 0.840]]
}

4.
{
  "formula": "LaTmMg2",
  "functional": "GGA-PBE",
  "state": "optimized geometry",
  "e_form_ev_per_atom": -0.091,
  "lattice": [[0.000, 3.857, 3.857], [3.857, 0.000, 3.857], [3.857, 3.857, 0.000]],
  "species": ["La", "Tm", "Mg", "Mg"],
  "frac_coords": [[0.000, 0.000, 0.000], [0.500, 0.500, 0.500], [0.250, 0.250, 0.250], [0.750, 0.750, 0.750]]
}

| no. | DFT total energy (eV/cell) |
| --- | --- |
| 1 | -15.2 |
| 2 | -12.4 |
| 3 | -22.7 |
| 4 | -13.0 |